No. 1
First-principles (PBE-GGA) data for crystalline Ta2Nb at its relaxed geometry, as listed in OQMD.

Results
Distance to the lowest polymorph of the same formula in meV per atom: 155
DFT formation energy in eV/atom: 0.150

Structure (POSCAR):
```
Ta2Nb
1.0
0.000 3.851 3.851
3.851 0.000 3.851
3.851 3.851 0.000
Ta Nb
4 2
direct
0.000 0.000 0.000 Ta
0.000 0.000 0.500 Ta
0.000 0.500 0.000 Ta
0.500 0.000 0.000 Ta
0.375 0.375 0.375 Nb
0.625 0.625 0.625 Nb
```

=====

No. 2
First-principles (PBE-GGA) data for crystalline TbTlAg3S4 at its relaxed geometry, as listed in OQMD.

Results
Distance to the lowest polymorph of the same formula in meV per atom: 0

Structure (POSCAR):
```
TbTlAg3S4
1.0
6.338 0.000 0.000
0.000 7.579 0.000
-2.448 0.000 10.131
Tb Tl Ag S
2 2 6 8
direct
0.115 0.250 0.292 Tb
0.885 0.750 0.708 Tb
0.369 0.250 0.870 Tl
0.631 0.750 0.130 Tl
0.282 0.556 0.531 Ag
0.282 0.944 0.531 Ag
0.426 0.750 0.789 Ag
0.574 0.250 0.211 Ag
0.718 0.056 0.469 Ag
0.718 0.444 0.469 Ag
0.054 0.250 0.541 S
0.180 0.750 0.930 S
0.384 0.512 0.288 S
0.384 0.988 0.288 S
0.616 0.012 0.712 S
0.616 0.488 0.712 S
0.820 0.250 0.070 S
0.946 0.750 0.459 S
```

=====

No. 3
First-principles (PBE-GGA) data for crystalline CsKTcS3 at its relaxed geometry, as listed in OQMD.

Structure (POSCAR):
```
CsKTcS3
1.0
6.940 0.000 0.000
3.444 6.893 0.000
3.460 0.647 7.834
Cs K Tc S
2 2 2 6
direct
0.206 0.408 0.188 Cs
0.794 0.592 0.812 Cs
0.417 0.806 0.366 K
0.583 0.194 0.634 K
0.110 0.941 0.836 Tc
0.890 0.059 0.164 Tc
0.113 0.157 0.610 S
0.260 0.000 0.998 S
0.298 0.635 0.759 S
0.702 0.365 0.241 S
0.740 0.000 0.002 S
0.887 0.843 0.390 S
```

=====

| no. | DFT total energy (eV per atom) |
| --- | --- |
| 1 | -11.12 |
| 2 | -4.07 |
| 3 | -4.95 |